1.
DFT (GGA-PBE) results for Ac2PmThBi5 after structural relaxation.

Unit cell a=5.774 b=5.774 c=12.203 alpha=90.00 beta=90.00 gamma=90.00
Fractional positions:
1 Ac 0.000 0.000 0.217
2 Ac 0.000 0.000 0.783
3 Pm 0.500 0.500 0.500
4 Th 0.500 0.500 0.000
5 Bi 0.000 0.000 0.500
6 Bi 0.000 0.500 0.000
7 Bi 0.500 0.000 0.000
8 Bi 0.500 0.500 0.255
9 Bi 0.500 0.500 0.745

DFT total energy   -41.43 eV per cell
Formation energy from the elements   -182 meV per atom
M_tot   0.00 μB per atom
SG   P4/mmm
DOS at the Fermi energy   7.1 states/eV/f.u.

2.
DFT (GGA-PBE) results for Ba2PuOs3O12 after structural relaxation.

Unit cell a=7.341 b=7.341 c=7.341 alpha=59.44 beta=59.44 gamma=59.44
Fractional positions:
1 Ba 0.137 0.137 0.137
2 Ba 0.863 0.863 0.863
3 Pu 0.500 0.500 0.500
4 Os 0.000 0.500 0.500
5 Os 0.500 0.000 0.500
6 Os 0.500 0.500 0.000
7 O 0.134 0.599 0.599
8 O 0.201 0.201 0.582
9 O 0.201 0.582 0.201
10 O 0.401 0.401 0.866
11 O 0.401 0.866 0.401
12 O 0.418 0.799 0.799
13 O 0.582 0.201 0.201
14 O 0.599 0.134 0.599
15 O 0.599 0.599 0.134
16 O 0.799 0.418 0.799
17 O 0.799 0.799 0.418
18 O 0.866 0.401 0.401

DFT total energy   -143.24 eV per cell
M_tot   0.18 μB per atom
ΔE_f (raw)   -1.77 eV per atom
SG   R-3m
DOS at the Fermi energy   12.3 states/eV/f.u.

3.
DFT (GGA-PBE) results for SrAgRu2 after structural relaxation.

Unit cell a=2.920 b=4.879 c=5.662 alpha=90.00 beta=98.60 gamma=90.00
Fractional positions:
1 Sr 0.000 0.000 0.000
2 Ag 0.500 0.000 0.500
3 Ru 0.298 0.500 0.688
4 Ru 0.702 0.500 0.312

DFT total energy   -20.24 eV per cell
Formation energy from the elements   710 meV per atom
M_tot   0.34 μB per atom
Energy relative to the lowest polymorph listed for this composition   44.1 kJ per mole of atoms
SG   P2/m
DOS at the Fermi energy   5.7 states/eV/f.u.

4.
DFT (GGA-PBE) results for Ho5PdAu4 after structural relaxation.

Unit cell a=3.549 b=3.549 c=18.005 alpha=90.00 beta=90.00 gamma=90.00
Fractional positions:
1 Ho 0.000 0.000 0.000
2 Ho 0.000 0.000 0.203
3 Ho 0.000 0.000 0.404
4 Ho 0.000 0.000 0.596
5 Ho 0.000 0.000 0.797
6 Pd 0.500 0.500 0.500
7 Au 0.500 0.500 0.101
8 Au 0.500 0.500 0.303
9 Au 0.500 0.500 0.697
10 Au 0.500 0.500 0.899

DFT total energy   -49.98 eV per cell
Formation energy from the elements   -879 meV per atom
M_tot   0.00 μB per atom
SG   P4/mmm
DOS at the Fermi energy   4.8 states/eV/f.u.

5.
DFT (GGA-PBE) results for SbRh3Au after structural relaxation.

Unit cell a=4.806 b=4.806 c=4.806 alpha=90.00 beta=90.00 gamma=90.00
Fractional positions:
1 Sb 0.000 0.000 0.000
2 Rh 0.000 0.000 0.500
3 Rh 0.000 0.500 0.000
4 Rh 0.500 0.000 0.000
5 Au 0.500 0.500 0.500

DFT total energy   -24.63 eV per cell
M_tot   0.14 μB per atom
ΔE_f (raw)   0.97 eV per atom
Energy relative to the lowest polymorph listed for this composition   0.0 kJ per mole of atoms
SG   Pm-3m
DOS at the Fermi energy   3.9 states/eV/f.u.

6.
DFT (GGA-PBE) results for RbInHg after structural relaxation.

Unit cell a=8.976 b=8.976 c=5.242 alpha=90.00 beta=90.00 gamma=148.24
Fractional positions:
1 Rb 0.081 0.919 0.750
2 Rb 0.919 0.081 0.250
3 In 0.245 0.755 0.250
4 In 0.755 0.245 0.750
5 Hg 0.356 0.644 0.750
6 Hg 0.644 0.356 0.250

DFT total energy   -8.72 eV per cell
Formation energy from the elements   -117 meV per atom
M_tot   0.00 μB per atom
Energy relative to the lowest polymorph listed for this composition   1.6 kJ per mole of atoms
SG   Cmcm
DOS at the Fermi energy   1.7 states/eV/f.u.

Question: The highest M_tot belongs to which entry?
Answer: SrAgRu2

Question: Which of these has the highest DFT total energy?
Answer: RbInHg

Question: DFT total energy of number 5 (SbRh3Au)?
Answer: -24.63 eV per cell